VASP calculation (PBE) on an optimized crystal structure of InGa2FeRe.

Cell lengths 4.8132, 4.8132, 5.1834 Å; angles 90.00, 90.00, 90.00 degrees
With the nearest neighbours (Å) after each atom.
Space group P4/mmm (No. 123)
One atom of each set of equivalent atoms:
In  0.0000  0.0000  0.0000 x1  2 Re 2.59
Ga  0.0000  0.5000  0.5000 x2  2 Re 2.41
Fe  0.5000  0.5000  0.0000 x1  4 In 3.40, 8 Ga 3.54
Re  0.0000  0.0000  0.5000 x1  4 Ga 2.41, 2 In 2.59

Formation enthalpy at 0 K = 0.924 eV per atom



VASP calculation (PBE) on an optimized crystal structure of InBiTe5Pb2.

Cell lengths 4.4546, 20.0322, 14.1857 Å; angles 90.00, 90.00, 90.00 degrees
With the nearest neighbours (Å) after each atom.
Space group Cmc2_1 (No. 36)
One atom of each set of equivalent atoms:
In  0.0000  0.0532  0.0000 x4  4 Te 2.78-2.88
Bi  0.0000  0.2974  0.5937 x4  6 Te 3.07-3.30
Te  0.0000  0.0194  0.3333 x4  1 In 2.78
Te  0.0000  0.1444  0.5829 x4  1 Bi 3.07, 2 Pb 3.15
Te  0.0000  0.1894  0.9346 x4  1 In 2.88, 2 Bi 3.18
Te  0.0000  0.2109  0.2509 x4  3 Pb 3.15-3.44, 2 Bi 3.16
Te  0.0000  0.4610  0.6226 x4  2 In 2.84
Pb  0.0000  0.3678  0.2393 x4  3 Te 3.15
Pb  0.0000  0.3760  0.8896 x4  4 Te 3.16-3.44



VASP calculation (PBE) on an optimized crystal structure of Sm4ErAl2.

Cell lengths 5.3177, 5.3177, 24.0711 Å; angles 90.00, 90.00, 120.00 degrees
With the nearest neighbours (Å) after each atom.
Space group R-3m (No. 166, hexagonal axes)
One atom of each set of equivalent atoms:
Sm  0.0000  0.0000  0.0879 x6  4 Al 3.13-3.17
Sm  0.0000  0.0000  0.3484 x6  1 Al 3.10, 3 Sm 3.15
Er  0.0000  0.0000  0.5000 x3  6 Al 3.33, 8 Sm 3.61-3.65
Al  0.0000  0.0000  0.2197 x6  5 Sm 3.10-3.17, 3 Er 3.33

Formation enthalpy at 0 K = -0.180 eV per atom



VASP calculation (PBE) on an optimized crystal structure of Cs2ZnSb.

Cell lengths 6.2183, 6.2183, 23.8435 Å; angles 90.00, 90.00, 90.00 degrees
With the nearest neighbours (Å) after each atom.
Space group I-42d (No. 122)
One atom of each set of equivalent atoms:
Cs  0.2402  0.2500  0.1250 x8  2 Zn 3.68, 2 Sb 3.73
Zn  0.0000  0.0000  0.0000 x4  4 Cs 3.68
Sb  0.0000  0.0000  0.5000 x4  4 Cs 3.73



no.,electronic total energy (eV/atom)
1,-5.0162
2,-3.6092
3,-4.5979
4,-1.5472